! SmGaCu | Alexandria via LeMat-Bulk | PBE | relaxed; values from VASP
&SYSTEM
  ibrav = 0, nat = 6, ntyp = 3
/
ATOMIC_SPECIES
Sm 150.36 Sm.upf
Ga 69.72 Ga.upf
Cu 63.55 Cu.upf
CELL_PARAMETERS angstrom
-2.153 3.782 3.822
2.153 -3.782 3.822
2.153 3.782 -3.822
ATOMIC_POSITIONS crystal
Sm 0.238 0.000 0.238
Sm 0.762 0.000 0.762
Ga 0.335 0.335 0.000
Ga 0.665 0.665 0.000
Cu 0.166 0.666 0.500
Cu 0.834 0.334 0.500
! Uncorrected energy: -4.400 eV per atom
! Energy of formation: -10.442 kcal/mol of atoms